(1)
First-principles (PBE) data for a relaxed ThIrSe crystal, as listed in Alexandria via LeMat-Bulk.

abc: 4.343 4.343 10.863
angles: 78.47 78.47 60.00
Element x y z (fractional)
Se 0.278 0.278 0.165
Se 0.722 0.722 0.835
Ir 0.165 0.165 0.506
Ir 0.835 0.835 0.494
Th 0.438 0.438 0.687
Th 0.562 0.562 0.313

Summary:
Magnetization   0.0 μB/cell
Total DFT energy (no corrections)   -7.767 eV per atom

(2)
First-principles (PBE) data for a relaxed Th5IrSe4 crystal, as listed in Alexandria via LeMat-Bulk.

abc: 5.970 7.314 7.314
angles: 80.41 65.91 65.91
Element x y z (fractional)
Th 0.901 0.385 0.816
Th 0.286 0.816 0.615
Th 0.716 0.184 0.385
Th 0.101 0.615 0.184
Th 0.501 0.000 0.000
Ir 0.001 0.000 0.000
Se 0.408 0.399 0.787
Se 0.807 0.787 0.601
Se 0.195 0.213 0.399
Se 0.594 0.601 0.213

Summary:
Magnetization   0.0 μB/cell
Total DFT energy (no corrections)   -7.450 eV per atom

> Look up the magnetization of the first one.

0.0 μB/cell

> Which value of magnetization does entry 1 give?

0.0 μB/cell